[1]
A plane-wave DFT calculation with GGA-PBE was carried out for a relaxed structure of MgTaHg2.

a = 3.103 Å, b = 4.351 Å, c = 6.057 Å
α = 90.00°, β = 90.00°, γ = 90.00°
Element x y z (fractional)
Hg 0.000 0.000 0.970
Hg 0.500 0.500 0.273
Mg 0.000 0.000 0.496
Ta 0.500 0.500 0.762

ΔH_f (0 K): 0.309 eV/atom
Symmetry: No. 25

=====

[2]
A plane-wave DFT calculation with GGA-PBE was carried out for a relaxed structure of Ta3NbRu4.

a = 3.068 Å, b = 4.538 Å, c = 9.255 Å
α = 90.00°, β = 90.00°, γ = 90.00°
Element x y z (fractional)
Ru 0.000 0.000 0.500
Ru 0.000 0.500 0.731
Ru 0.000 0.000 0.000
Ru 0.000 0.500 0.269
Nb 0.500 0.500 0.000
Ta 0.500 0.000 0.241
Ta 0.500 0.500 0.500
Ta 0.500 0.000 0.759

ΔH_f (0 K): -0.283 eV/atom
Symmetry: No. 47

=====

[3]
A plane-wave DFT calculation with GGA-PBE was carried out for a relaxed structure of Rb3Ag2Br9.

a = 7.539 Å, b = 7.539 Å, c = 9.409 Å
α = 90.00°, β = 90.00°, γ = 120.00°
Element x y z (fractional)
Rb 0.667 0.333 0.651
Rb 0.000 0.000 0.000
Rb 0.333 0.667 0.349
Ag 0.667 0.333 0.171
Ag 0.333 0.667 0.829
Br 0.165 0.835 0.674
Br 0.165 0.331 0.674
Br 0.500 0.500 0.000
Br 0.835 0.669 0.326
Br 0.331 0.165 0.326
Br 0.669 0.835 0.674
Br 0.835 0.165 0.326
Br 0.000 0.500 0.000
Br 0.500 0.000 0.000

Symmetry: No. 164
Formation energy from raw total energies: -0.811 eV/atom

=====

[4]
A plane-wave DFT calculation with GGA-PBE was carried out for a relaxed structure of Nb3BI.

a = 4.470 Å, b = 4.470 Å, c = 4.470 Å
α = 90.00°, β = 90.00°, γ = 90.00°
Element x y z (fractional)
I 0.500 0.500 0.500
Nb 0.000 0.500 0.000
Nb 0.000 0.000 0.500
Nb 0.500 0.000 0.000
B 0.000 0.000 0.000

Energy relative to the lowest polymorph listed for this composition: 0.0 meV/atom
Symmetry: No. 221
Formation energy from raw total energies: 0.495 eV/atom

=====

[5]
A plane-wave DFT calculation with GGA-PBE was carried out for a relaxed structure of YZnC3.

a = 4.526 Å, b = 4.526 Å, c = 4.526 Å
α = 90.00°, β = 90.00°, γ = 90.00°
Element x y z (fractional)
Y 0.000 0.000 0.000
Zn 0.500 0.500 0.500
C 0.000 0.500 0.000
C 0.000 0.000 0.500
C 0.500 0.000 0.000

Energy relative to the lowest polymorph listed for this composition: 1040.9 meV/atom
ΔH_f (0 K): 2.770 eV/atom
Symmetry: No. 221

=====

[6]
A plane-wave DFT calculation with GGA-PBE was carried out for a relaxed structure of EuSb2Ru.

a = 4.472 Å, b = 4.472 Å, c = 6.123 Å
α = 68.58°, β = 68.58°, γ = 60.00°
Element x y z (fractional)
Eu 0.500 0.500 0.500
Sb 0.277 0.277 0.169
Sb 0.723 0.723 0.831
Ru 0.000 0.000 0.000

Symmetry: No. 166
Formation energy from raw total energies: -0.479 eV/atom